This record from Alexandria via LeMat-Bulk describes an optimized crystal structure of NaSmTm2Tl4. The functional is GGA-PBE.

```
NaSmTm2Tl4
1.0
2.6598 1.5356 8.8466
-2.6598 1.5356 8.8466
0.0000 -3.0713 8.8466
Na Sm Tm Tl
1 1 2 4
Direct
0.0000 0.0000 0.0000
0.5000 0.5000 0.5000
0.2531 0.2531 0.2531
0.7469 0.7469 0.7469
0.1231 0.1231 0.1231
0.3734 0.3734 0.3734
0.6266 0.6266 0.6266
0.8769 0.8769 0.8769
```

SG: No. 166
Theoretical density, kg/m3: 10177
Raw total energy, eV per cell: -26.64
Formation energy from the elements, eV per atom: -0.274